Entry 1:
## Ce8Te4As3N (PBE)

Data for a geometry-optimized Ce8Te4As3N structure.

a = 8.4460 Å, b = 8.7089 Å, c = 8.4457 Å
α = 119.00°, β = 120.00°, γ = 90.00°
With the nearest neighbours (Å) after each atom.
Atoms (fractional coordinates):
Ce: 0.2213 0.7068 0.9855  1 N 2.68, 2 As 2.95
Ce: 0.2209 0.7065 0.4419  1 N 2.68, 2 As 2.95
Ce: 0.2582 0.2747 0.5165  3 As 2.93, 3 Te 3.14
Ce: 0.7643 0.7068 0.9855  1 N 2.68, 2 As 2.95
Ce: 0.2357 0.2932 0.0145  1 N 2.68, 2 As 2.95
Ce: 0.7418 0.7253 0.4835  3 As 2.93, 3 Te 3.14
Ce: 0.7791 0.2935 0.5581  1 N 2.68, 2 As 2.95
Ce: 0.7787 0.2932 0.0145  1 N 2.68, 2 As 2.95
Te: 0.5000 0.0000 0.0000  6 Ce 3.39
Te: 0.5000 0.0000 0.5000  6 Ce 3.14-3.16
Te: 0.0000 0.0000 0.0000  6 Ce 3.14-3.15
Te: 0.0000 0.0000 0.5000  6 Ce 3.14-3.16
As: 0.5000 0.5000 0.0000  6 Ce 2.93-2.95
As: 0.5000 0.5000 0.5000  6 Ce 2.93-2.95
As: 0.0000 0.5000 0.5000  6 Ce 2.93-2.95
N: 0.0000 0.5000 0.0000  6 Ce 2.68

Output
formation energy without anion corrections	-1347	meV per atom
E_tot	-103.86	eV/cell
symmetry	R-3m, No. 166

---

Entry 2:
## CeThAsN2 (PBE)

Data for a geometry-optimized CeThAsN2 structure.

a = 3.9556 Å, b = 3.9556 Å, c = 7.0784 Å
α = 106.23°, β = 106.23°, γ = 90.00°
With the nearest neighbours (Å) after each atom.
Atoms (fractional coordinates):
Ce: 0.8383 0.8383 0.6766  4 N 2.28
Th: 0.1582 0.1582 0.3165  4 N 2.32
As: 0.4999 0.4999 0.9999  4 Th 3.47, 4 Ce 3.50, 8 N 3.79-3.83
N: 0.7518 0.2518 0.5035  2 Ce 2.28, 2 Th 2.32
N: 0.2518 0.7518 0.5035  2 Ce 2.28, 2 Th 2.32

Output
formation energy without anion corrections	-1371	meV per atom
E_tot	-41.51	eV/cell
symmetry	I4mm, No. 107

---

Entry 3:
## CeThAsN (PBE)

Data for a geometry-optimized CeThAsN structure.

a = 4.1971 Å, b = 4.1971 Å, c = 9.9974 Å
α = 90.00°, β = 90.00°, γ = 90.00°
With the nearest neighbours (Å) after each atom.
Atoms (fractional coordinates):
Ce: 0.0000 0.0000 0.5000  4 Ce 2.97, 4 As 2.98
Ce: 0.5000 0.5000 0.5000  4 Ce 2.97, 4 As 2.98
Th: 0.0000 0.5000 0.8893  4 N 2.37
Th: 0.5000 0.0000 0.1107  4 N 2.37
As: 0.5000 0.0000 0.7116  4 Ce 2.98
As: 0.0000 0.5000 0.2884  4 Ce 2.98
N: 0.5000 0.5000 0.0000  4 Th 2.37
N: 0.0000 0.0000 0.0000  4 Th 2.37

Output
formation energy without anion corrections	-1281	meV per atom
E_tot	-62.90	eV/cell
symmetry	P4/nmm, No. 129

---

Entry 4:
## CeTh2As2N2 (PBE)

Data for a geometry-optimized CeTh2As2N2 structure.

a = 4.0418 Å, b = 6.5449 Å, c = 6.8759 Å
α = 64.52°, β = 72.91°, γ = 72.01°
With the nearest neighbours (Å) after each atom.
Atoms (fractional coordinates):
Ce: 0.0000 0.0000 0.0000  2 N 2.28
Th: 0.1921 0.3602 0.2555  3 N 2.36-2.38
Th: 0.8079 0.6398 0.7445  3 N 2.36-2.38
As: 0.5634 0.2104 0.6628  2 Ce 2.92, 2 Th 3.20
As: 0.4366 0.7896 0.3372  2 Ce 2.92, 2 Th 3.20
N: 0.2042 0.6784 0.9133  1 Ce 2.28, 3 Th 2.36-2.38
N: 0.7958 0.3216 0.0867  1 Ce 2.28, 3 Th 2.36-2.38

Output
formation energy without anion corrections	-1542	meV per atom
E_tot	-57.51	eV/cell
symmetry	C2/m, No. 12

---

Entry 5:
## Ce2UAs2N2 (PBE)

Data for a geometry-optimized Ce2UAs2N2 structure.

a = 3.9780 Å, b = 6.2812 Å, c = 6.7784 Å
α = 65.12°, β = 72.94°, γ = 71.54°
With the nearest neighbours (Å) after each atom.
Atoms (fractional coordinates):
Ce: 0.1890 0.3539 0.2682  3 N 2.42-2.46
Ce: 0.8110 0.6461 0.7318  3 N 2.42-2.46
U: 0.0000 0.0000 0.0000  2 N 2.02
As: 0.5634 0.2082 0.6650  2 U 2.87, 3 Ce 3.12-3.22
As: 0.4366 0.7918 0.3350  2 U 2.87, 3 Ce 3.12-3.22
N: 0.1886 0.7035 0.9193  1 U 2.02
N: 0.8114 0.2965 0.0807  1 U 2.02

Output
formation energy without anion corrections	-1379	meV per atom
E_tot	-58.76	eV/cell
symmetry	C2/m, No. 12

---

Entry 6:
## Ce2ZrAsN5 (PBE)

Data for a geometry-optimized Ce2ZrAsN5 structure.

a = 3.3980 Å, b = 7.4378 Å, c = 10.0157 Å
α = 90.00°, β = 90.00°, γ = 103.20°
With the nearest neighbours (Å) after each atom.
Atoms (fractional coordinates):
Ce: 0.8688 0.7375 0.8078  6 N 2.48-2.62
Ce: 0.1162 0.2324 0.6814  8 N 2.48-2.68
Ce: 0.1312 0.2625 0.3078  6 N 2.48-2.62
Ce: 0.8838 0.7676 0.1814  8 N 2.48-2.68
Zr: 0.7882 0.5765 0.5154  3 N 2.05-2.27
Zr: 0.2118 0.4235 0.0154  3 N 2.05-2.27
As: 0.5462 0.0923 0.9490  4 N 1.83-1.96
As: 0.4538 0.9077 0.4490  4 N 1.83-1.96
N: 0.3532 0.7064 0.0060  1 Zr 2.05
N: 0.6707 0.3415 0.8727  1 As 1.96
N: 0.4926 0.9852 0.7840  1 As 1.83
N: 0.2897 0.5794 0.6663  2 Zr 2.27, 3 Ce 2.49-2.52
N: 0.9589 0.9178 0.5415  2 As 1.94
N: 0.6468 0.2936 0.5060  1 Zr 2.05
N: 0.3293 0.6585 0.3727  1 As 1.96
N: 0.5074 0.0148 0.2840  1 As 1.83
N: 0.7103 0.4206 0.1663  2 Zr 2.27, 3 Ce 2.49-2.52
N: 0.0411 0.0822 0.0415  2 As 1.94

Output
formation energy without anion corrections	-907	meV per atom
E_tot	-149.71	eV/cell
symmetry	Cmc2_1, No. 36